Run P
Ti2Pt2Au: relaxed, GGA-PBE.

Structure (extended XYZ):
```
10
Lattice="-4.2818 5.6659 3.1474 0.9319 -3.1948 7.0191 2.3169 1.5339 0.3906" Properties=species:S:1:pos:R:3 pbc="T T T"
Pt -2.2014 4.4991 5.4682
Au -1.6750 1.2356 5.0832
Ti -3.0004 2.6825 7.2625
Ti -2.6649 3.2195 3.1639
Pt -0.7604 1.6114 8.2610
Pt 1.1683 -0.4940 5.0888
Ti -0.3496 -0.2114 2.9039
Au 0.0000 0.0000 0.0000
Pt -0.2727 2.3937 2.2961
Ti -0.6850 -0.7484 7.0025
```

Output
V ... 84.7 Å³/f.u.

=====

Run Q
Ti2Pt2Au: relaxed, GGA-PBE.

Structure (extended XYZ):
```
5
Lattice="-1.5412 3.8430 -1.1002 -3.6641 -0.8868 2.0353 -0.6950 3.4754 4.7720" Properties=species:S:1:pos:R:3 pbc="T T T"
Ti -3.4809 2.0334 3.6375
Pt -3.7690 4.4601 4.1761
Pt -2.1313 1.9716 1.5311
Au 0.0000 0.0000 0.0000
Ti -2.4195 4.3983 2.0697
```

Output
V ... 93.9 Å³/f.u.

=====

Of them, run P has the highest stability.

=====

Run P
TiPtAu: relaxed, GGA-PBE.

Structure (extended XYZ):
```
3
Lattice="3.3810 0.0000 0.0000 0.0000 3.3810 0.0000 -1.6905 -1.6905 4.3340" Properties=species:S:1:pos:R:3 pbc="T T T"
Au 0.0000 0.0000 0.0218
Pt 0.0000 0.0000 2.7805
Ti 1.6905 1.6905 1.5316
```

Output
V ... 49.5 Å³/f.u.

=====

Run Q
TiPtAu: relaxed, GGA-PBE.

Structure (extended XYZ):
```
6
Lattice="-0.7069 -3.3588 1.2542 3.0558 -1.5838 -2.5189 4.6197 2.5125 4.0177" Properties=species:S:1:pos:R:3 pbc="T T T"
Ti 3.9130 0.4350 1.8234
Au 2.0725 -1.5309 0.8271
Pt 6.6323 -0.1237 1.8599
Au 4.7752 -2.0994 0.8526
Ti 2.9344 -4.0650 -0.1435
Pt 4.8353 -0.9939 3.8376
```

Output
V ... 49.6 Å³/f.u.

=====

Run R
TiPtAu: relaxed, GGA-PBE.

Structure (extended XYZ):
```
3
Lattice="-1.4846 -2.3732 0.4015 2.7575 -1.1579 3.3524 -3.6728 2.4422 0.8543" Properties=species:S:1:pos:R:3 pbc="T T T"
Au 0.1320 -0.7285 2.6501
Ti -2.9051 -0.9570 2.0590
Pt -1.1114 -1.7766 0.3005
```

Output
V ... 49.4 Å³/f.u.

=====

Run S
TiPtAu: relaxed, GGA-PBE.

Structure (extended XYZ):
```
12
Lattice="-5.8826 1.0255 2.9078 4.0189 -5.1903 1.0098 3.8949 5.3208 2.8936" Properties=species:S:1:pos:R:3 pbc="T T T"
Pt 1.3997 0.4657 5.7769
Ti 1.6185 0.1995 3.2900
Ti -4.0100 -0.1500 2.5488
Pt 0.6315 0.6902 1.0342
Au 3.6929 2.1724 2.9123
Ti 2.1464 -4.0148 1.3687
Au -1.1958 0.0248 2.9194
Pt 2.8595 -1.6662 1.8969
Pt 4.1225 -0.2858 3.9653
Au 0.8137 -2.5704 3.4243
Ti 5.3635 -2.1515 2.5721
Au 0.7517 2.6852 4.3662
```

Output
V ... 58.3 Å³/f.u.

=====

Of them, run P has the highest stability.

=====

Run P
Tl2PtAu: relaxed, GGA-PBE.

Structure (extended XYZ):
```
4
Lattice="-0.7063 -2.1743 4.3867 -3.5812 -3.3689 0.5427 1.1627 -4.7689 0.6125" Properties=species:S:1:pos:R:3 pbc="T T T"
Pt 0.0000 0.0000 0.0000
Au -1.5624 -5.1560 2.7710
Tl -2.3436 -7.7341 4.1564
Tl -0.7812 -2.5780 1.3855
```

Output
V ... 85.6 Å³/f.u.

=====

Run Q
Tl2PtAu: relaxed, GGA-PBE.

Structure (extended XYZ):
```
4
Lattice="5.2887 -0.0973 -0.3081 0.1110 5.2884 -0.3081 0.2494 0.2398 3.0617" Properties=species:S:1:pos:R:3 pbc="T T T"
Pt 0.1802 2.7641 1.3768
Tl 2.6998 2.5956 -0.3081
Au 2.7691 0.0713 1.3768
Tl 0.0000 0.0000 0.0000
```

Output
V ... 86.5 Å³/f.u.

=====

Run R
Tl2PtAu: relaxed, GGA-PBE.

Structure (extended XYZ):
```
4
Lattice="-1.3239 3.8301 0.9559 -0.8935 -1.2142 3.6275 4.6885 0.7912 3.3231" Properties=species:S:1:pos:R:3 pbc="T T T"
Tl 0.5677 1.8196 2.5634
Tl 3.4449 -0.4553 6.5952
Pt 2.6208 1.9133 5.0313
Au 1.5304 -0.5050 4.1426
```

Output
V ... 90.4 Å³/f.u.

=====

Of them, run R has the highest stability.

=====

Run P
Tl2PtAu: relaxed, GGA-PBE.

Structure (extended XYZ):
```
4
Lattice="3.0070 0.0000 0.0000 0.0000 3.7353 -0.0261 0.0000 2.2834 7.9240" Properties=species:S:1:pos:R:3 pbc="T T T"
Pt 1.5035 4.5141 5.9234
Tl 0.0000 2.4669 7.7332
Tl 0.0000 2.8259 4.1397
Au 1.5035 1.5047 1.9745
```

Output
V ... 89.2 Å³/f.u.

=====

Run Q
Tl2PtAu: relaxed, GGA-PBE.

Structure (extended XYZ):
```
4
Lattice="4.9748 0.0000 0.0000 2.4874 4.3083 0.0000 2.4874 1.4361 4.0619" Properties=species:S:1:pos:R:3 pbc="T T T"
Au 4.9748 2.8722 2.0310
Pt 7.4622 4.3083 3.0464
Tl 0.0000 0.0000 0.0000
Tl 2.4874 1.4361 1.0155
```

Output
V ... 87.1 Å³/f.u.

=====

Run R
Tl2PtAu: relaxed, GGA-PBE.

Structure (extended XYZ):
```
4
Lattice="4.2298 0.0000 0.0000 0.0000 6.8440 0.1627 0.0000 4.6357 3.3866" Properties=species:S:1:pos:R:3 pbc="T T T"
Tl 0.0000 0.0000 0.0000
Tl 2.1149 3.4220 0.0813
Pt 0.0000 2.3178 1.6933
Au 2.1149 5.7399 1.7746
```

Output
V ... 94.8 Å³/f.u.

=====

Run S
Tl2PtAu: relaxed, GGA-PBE.

Structure (extended XYZ):
```
4
Lattice="-3.4802 0.5662 0.7402 -0.5010 -1.6733 -3.1511 -0.2838 -5.8975 3.1768" Properties=species:S:1:pos:R:3 pbc="T T T"
Tl -0.1450 -3.0142 1.6237
Pt -2.2034 -4.9766 1.1771
Au -2.0616 -2.0279 -0.4113
Tl -0.2806 -5.8319 3.1415
```

Output
V ... 86.4 Å³/f.u.

=====

Of them, run R has the highest stability.

=====

Run P
Tl2PtAu: relaxed, GGA-PBE.

Structure (extended XYZ):
```
4
Lattice="-0.3540 0.2516 4.1615 2.5815 -2.1937 2.4557 4.8513 4.2476 2.2592" Properties=species:S:1:pos:R:3 pbc="T T T"
Pt 1.5171 -1.2565 4.4119
Tl 3.9180 3.1358 2.2471
Tl 1.6707 0.4585 2.2178
Au 3.5124 1.1206 4.4379
```

Output
V ... 96.9 Å³/f.u.

=====

Run Q
Tl2PtAu: relaxed, GGA-PBE.

Structure (extended XYZ):
```
4
Lattice="-0.7616 -2.2392 -4.8844 4.7549 -1.0620 -2.3904 -1.9782 -1.1537 4.9201" Properties=species:S:1:pos:R:3 pbc="T T T"
Tl 0.0000 0.0000 0.0000
Tl 2.3867 -1.9331 -0.5538
Pt -0.3715 -2.5217 -1.8008
Au 1.9967 -1.6506 -3.6374
```

Output
V ... 84.9 Å³/f.u.

=====

Of them, run P has the highest stability.

=====

Run P
Tl2PtAu: relaxed, GGA-PBE.

Structure (extended XYZ):
```
4
Lattice="-1.1409 -3.8297 -1.1491 1.9759 -3.3951 1.3630 -3.8259 -2.3646 5.1561" Properties=species:S:1:pos:R:3 pbc="T T T"
Tl 0.7628 -7.2123 0.3014
Au -2.2432 -7.1920 4.0275
Pt -0.7477 -2.3973 1.3425
Tl -1.4232 -4.8071 2.5976
```

Output
V ... 95.6 Å³/f.u.

=====

Run Q
Tl2PtAu: relaxed, GGA-PBE.

Structure (extended XYZ):
```
4
Lattice="-2.0836 -0.9819 6.4267 0.9165 -2.0195 6.4567 1.2108 3.5796 2.7121" Properties=species:S:1:pos:R:3 pbc="T T T"
Au -0.1120 -0.0828 8.3159
Tl -1.0704 -2.7340 12.4523
Pt 0.0187 0.1671 3.9027
Tl 0.0621 0.5158 11.6057
```

Output
V ... 91.1 Å³/f.u.

=====

Of them, run Q has the highest stability.